A plane-wave DFT calculation with PBE was carried out for a relaxed structure of HfInNiW.

a b c (Å): 6.5279 6.5279 6.5279
angles (deg): 90.00 90.00 90.00
Closest atoms and distances in Å follow each position.
Space group F-43m (No. 216)
Asymmetric unit:
Hf 0.0000 0.0000 0.0000 (multiplicity 4)  4 W 2.83, 4 In 2.83
In 0.2500 0.2500 0.2500 (multiplicity 4)  4 Hf 2.83, 4 Ni 2.83
Ni 0.0000 0.0000 0.5000 (multiplicity 4)  4 In 2.83, 4 W 2.83
W 0.2500 0.2500 0.7500 (multiplicity 4)  4 Ni 2.83, 4 Hf 2.83

Properties
* magnetic moment: 5.01 Bohr magnetons per cell
* DFT total energy: -7.33 eV per atom


A plane-wave DFT calculation with PBE was carried out for a relaxed structure of HfZnInNi.

a b c (Å): 6.4696 6.4696 6.4696
angles (deg): 90.00 90.00 90.00
Closest atoms and distances in Å follow each position.
Space group F-43m (No. 216)
Asymmetric unit:
Hf 0.0000 0.0000 0.0000 (multiplicity 4)  4 In 2.80, 4 Zn 2.80
Zn 0.2500 0.2500 0.7500 (multiplicity 4)  4 Hf 2.80, 4 Ni 2.80
In 0.2500 0.2500 0.2500 (multiplicity 4)  4 Hf 2.80, 4 Ni 2.80
Ni 0.0000 0.0000 0.5000 (multiplicity 4)  4 In 2.80, 4 Zn 2.80

Properties
* magnetic moment: 0.13 Bohr magnetons per cell
* DFT total energy: -4.88 eV per atom


A plane-wave DFT calculation with PBE was carried out for a relaxed structure of Hf2ZnInNi4.

a b c (Å): 4.1823 4.1823 7.9707
angles (deg): 90.00 90.00 120.00
Closest atoms and distances in Å follow each position.
Space group P-3m1 (No. 164)
Asymmetric unit:
Hf 0.3333 0.6667 0.2580 (multiplicity 2)  8 Ni 2.62-2.83
Zn 0.0000 0.0000 0.5000 (multiplicity 1)  6 Ni 2.51
In 0.0000 0.0000 0.0000 (multiplicity 1)  6 Ni 2.53
Ni 0.3333 0.6667 0.5862 (multiplicity 2)  3 Zn 2.51, 4 Ni 2.53-2.78, 4 Hf 2.62-2.72
Ni 0.3333 0.6667 0.9032 (multiplicity 2)  1 Ni 2.53, 3 In 2.53, 4 Hf 2.74-2.83

Properties
* magnetic moment: 0.00 Bohr magnetons per cell
* DFT total energy: -6.17 eV per atom


A plane-wave DFT calculation with PBE was carried out for a relaxed structure of HfZrInNi.

a b c (Å): 6.7789 6.7789 6.7789
angles (deg): 90.00 90.00 90.00
Closest atoms and distances in Å follow each position.
Space group F-43m (No. 216)
Asymmetric unit:
Hf 0.0000 0.0000 0.0000 (multiplicity 4)  4 Zr 2.94, 4 In 2.94
Zr 0.2500 0.2500 0.7500 (multiplicity 4)  4 Hf 2.94, 4 Ni 2.94
In 0.2500 0.2500 0.2500 (multiplicity 4)  4 Hf 2.94, 4 Ni 2.94
Ni 0.0000 0.0000 0.5000 (multiplicity 4)  4 In 2.94, 4 Zr 2.94

Properties
* magnetic moment: 11.65 Bohr magnetons per cell
* DFT total energy: -6.56 eV per atom


A plane-wave DFT calculation with PBE was carried out for a relaxed structure of HfZrIn2Ni4.

a b c (Å): 4.3102 4.3102 7.9736
angles (deg): 90.00 90.00 120.00
Closest atoms and distances in Å follow each position.
Space group P-6m2 (No. 187)
Asymmetric unit:
Hf 0.0000 0.0000 0.0000 (multiplicity 1)  8 Ni 2.72-2.78
Zr 0.6667 0.3333 0.5000 (multiplicity 1)  8 Ni 2.74-2.79
In 0.3333 0.6667 0.2494 (multiplicity 2)  6 Ni 2.59-2.60
Ni 0.0000 0.0000 0.3406 (multiplicity 2)  1 Ni 2.54, 3 In 2.59, 1 Hf 2.72, 3 Zr 2.79
Ni 0.6667 0.3333 0.1558 (multiplicity 2)  1 Ni 2.48, 3 In 2.60, 1 Zr 2.74, 3 Hf 2.78

Properties
* magnetic moment: 0.01 Bohr magnetons per cell
* DFT total energy: -6.17 eV per atom


A plane-wave DFT calculation with PBE was carried out for a relaxed structure of Hf31InO64.

a b c (Å): 10.0438 10.0951 10.4420
angles (deg): 89.97 90.00 89.99
Closest atoms and distances in Å follow each position.
Space group P1 (No. 1)
Asymmetric unit:
Hf 0.0000 0.0000 0.0000 (multiplicity 1)  7 O 2.02-2.23
Hf 0.0000 0.9997 0.5004 (multiplicity 1)  7 O 2.03-2.23
Hf 0.0003 0.2504 0.2172 (multiplicity 1)  7 O 2.03-2.22
Hf 0.0003 0.2496 0.7175 (multiplicity 1)  7 O 2.02-2.23
Hf 0.0004 0.7501 0.2170 (multiplicity 1)  7 O 2.03-2.23
Hf 0.0008 0.4993 0.5004 (multiplicity 1)  7 O 2.03-2.23
Hf 0.0007 0.5005 0.9997 (multiplicity 1)  7 O 2.03-2.23
Hf 0.0008 0.7490 0.7169 (multiplicity 1)  7 O 2.03-2.23
Hf 0.2681 0.0002 0.2502 (multiplicity 1)  7 O 2.03-2.22
Hf 0.2682 0.2503 0.9675 (multiplicity 1)  7 O 2.04-2.23
Hf 0.2685 0.5001 0.2502 (multiplicity 1)  7 O 2.03-2.22
Hf 0.2682 0.7497 0.4671 (multiplicity 1)  7 O 2.03-2.22
Hf 0.2681 0.7505 0.9661 (multiplicity 1)  7 O 2.04-2.22
Hf 0.2685 0.0011 0.7497 (multiplicity 1)  7 O 2.04-2.23
Hf 0.2695 0.2508 0.4680 (multiplicity 1)  7 O 2.04-2.23
Hf 0.2701 0.4988 0.7497 (multiplicity 1)  7 O 2.05-2.22
Hf 0.4992 0.0012 0.9994 (multiplicity 1)  7 O 2.04-2.23
Hf 0.4994 0.5003 0.9994 (multiplicity 1)  7 O 2.03-2.23
Hf 0.4997 0.2503 0.2175 (multiplicity 1)  7 O 2.04-2.22
Hf 0.4996 0.4999 0.5012 (multiplicity 1)  7 O 2.05-2.23
Hf 0.5000 0.7502 0.2164 (multiplicity 1)  7 O 2.03-2.22
Hf 0.5003 0.7512 0.7165 (multiplicity 1)  7 O 2.03-2.22
Hf 0.4996 0.9993 0.4995 (multiplicity 1)  7 O 2.04-2.23
Hf 0.7683 0.0004 0.2499 (multiplicity 1)  7 O 2.03-2.22
Hf 0.7682 0.5004 0.2497 (multiplicity 1)  7 O 2.03-2.23
Hf 0.7678 0.4998 0.7501 (multiplicity 1)  7 O 2.03-2.24
Hf 0.7684 0.7491 0.4666 (multiplicity 1)  7 O 2.03-2.22
Hf 0.7679 0.7499 0.9672 (multiplicity 1)  7 O 2.03-2.23
Hf 0.7693 0.2502 0.4673 (multiplicity 1)  7 O 2.00-2.23
Hf 0.7685 0.2503 0.9669 (multiplicity 1)  7 O 2.04-2.22
Hf 0.7692 0.9986 0.7505 (multiplicity 1)  7 O 2.00-2.22
In 0.5039 0.2460 0.7180 (multiplicity 1)  6 O 2.09-2.29
O 0.0972 0.0680 0.6676 (multiplicity 1)  3 Hf 2.04-2.14
O 0.0977 0.3176 0.5492 (multiplicity 1)  3 Hf 2.04-2.14
O 0.0992 0.0701 0.1669 (multiplicity 1)  3 Hf 2.03-2.14
O 0.0990 0.3207 0.0510 (multiplicity 1)  3 Hf 2.04-2.13
O 0.0994 0.5689 0.6671 (multiplicity 1)  3 Hf 2.05-2.13
O 0.0994 0.5700 0.1672 (multiplicity 1)  3 Hf 2.03-2.14
O 0.0985 0.8188 0.5494 (multiplicity 1)  3 Hf 2.03-2.14
O 0.0991 0.8198 0.0501 (multiplicity 1)  3 Hf 2.04-2.14
O 0.1682 0.0694 0.9171 (multiplicity 1)  3 Hf 2.02-2.15
O 0.1686 0.0689 0.4165 (multiplicity 1)  3 Hf 2.03-2.17
O 0.1685 0.3192 0.7999 (multiplicity 1)  3 Hf 2.02-2.15
O 0.1691 0.3201 0.3004 (multiplicity 1)  3 Hf 2.03-2.14
O 0.1686 0.5713 0.9165 (multiplicity 1)  3 Hf 2.03-2.15
O 0.1693 0.8195 0.2998 (multiplicity 1)  3 Hf 2.03-2.14
O 0.1694 0.8197 0.7996 (multiplicity 1)  3 Hf 2.03-2.15
O 0.1696 0.5695 0.4173 (multiplicity 1)  3 Hf 2.03-2.14
O 0.3589 0.3774 0.6113 (multiplicity 1)  3 Hf 2.09-2.20, 1 In 2.26
O 0.3598 0.1206 0.5987 (multiplicity 1)  3 Hf 2.10-2.19, 1 In 2.29
O 0.3632 0.1251 0.1024 (multiplicity 1)  4 Hf 2.12-2.22
O 0.3627 0.8736 0.6155 (multiplicity 1)  4 Hf 2.12-2.23
O 0.3640 0.3747 0.1182 (multiplicity 1)  4 Hf 2.10-2.23
O 0.3636 0.6249 0.1004 (multiplicity 1)  4 Hf 2.12-2.22
O 0.3640 0.6258 0.6015 (multiplicity 1)  4 Hf 2.11-2.22
O 0.3636 0.8751 0.1156 (multiplicity 1)  4 Hf 2.12-2.23
O 0.3983 0.3789 0.8721 (multiplicity 1)  3 Hf 2.07-2.18
O 0.4019 0.1236 0.8549 (multiplicity 1)  3 Hf 2.13-2.20, 1 In 2.15
O 0.4043 0.1247 0.3508 (multiplicity 1)  4 Hf 2.11-2.23
O 0.4044 0.6248 0.3505 (multiplicity 1)  4 Hf 2.12-2.23
O 0.4041 0.8743 0.3653 (multiplicity 1)  4 Hf 2.12-2.22
O 0.4052 0.6261 0.8504 (multiplicity 1)  4 Hf 2.11-2.22
O 0.4048 0.8749 0.8655 (multiplicity 1)  4 Hf 2.12-2.23
O 0.4056 0.3748 0.3651 (multiplicity 1)  4 Hf 2.12-2.22
O 0.5975 0.8158 0.5471 (multiplicity 1)  3 Hf 2.03-2.15
O 0.5991 0.0698 0.1665 (multiplicity 1)  3 Hf 2.03-2.14
O 0.5988 0.3199 0.0505 (multiplicity 1)  3 Hf 2.04-2.14
O 0.5992 0.5704 0.1673 (multiplicity 1)  3 Hf 2.03-2.14
O 0.5987 0.8198 0.0494 (multiplicity 1)  3 Hf 2.03-2.15
O 0.6003 0.0555 0.6648 (multiplicity 1)  2 Hf 2.00-2.08, 1 In 2.22
O 0.5995 0.5709 0.6672 (multiplicity 1)  3 Hf 2.03-2.14
O 0.6031 0.3247 0.5456 (multiplicity 1)  2 Hf 2.00-2.10, 1 In 2.21
O 0.6687 0.0706 0.4158 (multiplicity 1)  3 Hf 2.04-2.14
O 0.6695 0.5698 0.4161 (multiplicity 1)  3 Hf 2.05-2.13
O 0.6691 0.5706 0.9177 (multiplicity 1)  3 Hf 2.03-2.13
O 0.6693 0.8201 0.2993 (multiplicity 1)  3 Hf 2.03-2.14
O 0.6695 0.0695 0.9168 (multiplicity 1)  3 Hf 2.04-2.14
O 0.6703 0.3196 0.2984 (multiplicity 1)  3 Hf 2.04-2.14
O 0.6707 0.8177 0.7998 (multiplicity 1)  3 Hf 2.03-2.14
O 0.6753 0.3228 0.8033 (multiplicity 1)  2 Hf 2.08-2.09, 1 In 2.09
O 0.8627 0.1242 0.6011 (multiplicity 1)  4 Hf 2.11-2.23
O 0.8642 0.1244 0.1016 (multiplicity 1)  4 Hf 2.12-2.22
O 0.8638 0.3748 0.1163 (multiplicity 1)  4 Hf 2.12-2.23
O 0.8642 0.6247 0.1007 (multiplicity 1)  4 Hf 2.11-2.23
O 0.8637 0.8735 0.6160 (multiplicity 1)  4 Hf 2.11-2.23
O 0.8637 0.8746 0.1163 (multiplicity 1)  4 Hf 2.12-2.23
O 0.8645 0.6241 0.5999 (multiplicity 1)  4 Hf 2.11-2.23
O 0.8655 0.3748 0.6167 (multiplicity 1)  4 Hf 2.12-2.23
O 0.9042 0.6244 0.8506 (multiplicity 1)  4 Hf 2.11-2.23
O 0.9042 0.8746 0.3661 (multiplicity 1)  4 Hf 2.12-2.22
O 0.9051 0.1243 0.3508 (multiplicity 1)  4 Hf 2.12-2.23
O 0.9049 0.1246 0.8518 (multiplicity 1)  4 Hf 2.12-2.22
O 0.9046 0.3748 0.3660 (multiplicity 1)  4 Hf 2.12-2.23
O 0.9049 0.6244 0.3504 (multiplicity 1)  4 Hf 2.11-2.23
O 0.9053 0.8739 0.8665 (multiplicity 1)  4 Hf 2.11-2.23
O 0.9070 0.3748 0.8669 (multiplicity 1)  4 Hf 2.10-2.24

Properties
* magnetic moment: 0.39 Bohr magnetons per cell
* DFT total energy: -9.99 eV per atom